Arrangement w

VASP calculation (PBE) on a relaxed structure of BeReAs.

a b c (Å): 4.1811 4.1811 2.8443
angles (deg): 90.00 90.00 120.00
Space group P-6m2 (No. 187)
Asymmetric unit:
1 Be 0.0000 0.0000 0.0000
2 Re 0.3333 0.6667 0.5000
3 As 0.6667 0.3333 0.5000

The calculation puts the volume at 14.4 Å³ per atom. As for the total magnetic moment: 0.00 μB per cell. The calculated density is 10.4 g/cm3.


Arrangement x

VASP calculation (PBE) on a relaxed structure of BeReAs.

a b c (Å): 3.126 3.126 7.787
angles (deg): 90.00 90.00 90.00
Space group I4mm (No. 107)
Asymmetric unit:
1 Be 0.000 0.000 0.000
2 Re 0.000 0.000 0.661
3 As 0.000 0.000 0.331

The calculation puts the volume at 12.7 Å³ per atom. As for the total magnetic moment: 0.00 μB per cell. The calculated density is 11.8 g/cm3.


The most stable arrangement is arrangement x, and the next structure is 0.604 eV/atom less stable.